<w>
BiPOsS2 | PBE | relaxed

Magnetic moment in μB/cell: 4.09
Calculated volume in Å³/atom: 27.30

Lattice parameters (Å, degrees): 5.070 5.070 5.311 90.00 90.00 90.00
Each line ends with the local moment (μB).
Atoms (fractional coordinates):
Bi 0.000 0.000 0.000  0.00
S 0.000 0.500 0.000  0.12
S 0.500 0.000 0.000  0.12
Os 0.500 0.500 0.500  3.35
P 0.000 0.000 0.500  -0.06

---

<x>
BiPOsS2 | PBE | relaxed

Magnetic moment in μB/cell: 0.00
Calculated volume in Å³/atom: 20.93

Lattice parameters (Å, degrees): 4.857 4.857 4.435 90.00 90.00 90.00
Atoms (fractional coordinates):
S 0.500 0.000 0.000
S 0.000 0.500 0.000
P 0.000 0.000 0.500
Os 0.000 0.000 0.000
Bi 0.500 0.500 0.500

---

The least stable of them is <w>.